#1
Density functional theory data (PBE) for a relaxed structure of Hg4Br.

```
Hg4Br
1.0
-5.327 5.327 5.327
5.327 -5.327 5.327
5.327 5.327 -5.327
Hg Br
16 4
Cartesian
1.134 1.134 -1.134
1.134 -1.134 1.134
3.658 0.000 0.000
6.996 0.000 0.000
-1.134 1.134 1.134
5.327 2.663 0.000
5.327 0.000 2.663
0.000 3.658 0.000
0.000 0.000 3.658
2.663 5.327 0.000
2.663 0.000 5.327
0.000 6.996 0.000
0.000 0.000 6.996
0.000 5.327 2.663
0.000 2.663 5.327
4.193 4.193 4.193
2.785 2.785 -2.785
2.785 -2.785 2.785
2.542 2.542 2.542
-2.785 2.785 2.785
```

Properties
N(E_F) = 9.988 states/eV/cell
spin magnetization = 0.00 μB per formula unit

---

#2
Density functional theory data (PBE) for a relaxed structure of Hg4Br.

```
Hg4Br
1.0
6.250 0.000 0.000
0.000 6.250 0.000
0.000 0.000 6.250
Hg Br
4 1
Cartesian
0.000 0.000 0.000
0.000 3.125 3.125
3.125 0.000 3.125
3.125 3.125 0.000
3.125 3.125 3.125
```

Properties
N(E_F) = 2.267 states/eV/cell
spin magnetization = 0.00 μB per formula unit

---

How do the energies compare? Relative to the most stable structure, in meV/atom: #1 0; #2 212.

---

#1
Density functional theory data (PBE) for a relaxed structure of HgBr5.

```
HgBr5
1.0
8.114 -1.960 0.000
8.114 1.960 0.000
-1.853 0.000 7.080
Hg Br
1 5
Cartesian
0.000 0.000 0.000
4.172 0.000 1.517
3.595 0.000 3.800
8.097 0.000 1.921
7.213 0.000 5.411
11.552 0.000 6.315
```

Properties
N(E_F) = 5.466 states/eV/cell
spin magnetization = 0.41 μB per formula unit

---

#2
Density functional theory data (PBE) for a relaxed structure of HgBr5.

```
HgBr5
1.0
5.339 0.000 0.000
-2.669 4.624 0.000
0.000 0.000 8.126
Hg Br
1 5
Cartesian
0.000 0.000 0.000
-1.828 3.166 4.063
0.841 1.457 4.063
0.000 3.082 0.000
2.669 1.541 0.000
3.656 0.000 4.063
```

Properties
N(E_F) = 5.815 states/eV/cell
spin magnetization = 0.36 μB per formula unit

---

How do the energies compare? Relative to the most stable structure, in meV/atom: #1 0; #2 362.

---

#1
Density functional theory data (PBE) for a relaxed structure of HgBr5.

```
HgBr5
1.0
1.982 -6.457 0.000
1.982 6.457 0.000
0.000 0.000 8.542
Hg Br
1 5
Cartesian
0.000 0.000 0.000
1.982 4.297 4.271
1.982 1.844 0.000
1.982 0.000 4.271
1.982 -1.844 0.000
1.982 -4.297 4.271
```

Properties
N(E_F) = 3.650 states/eV/cell
spin magnetization = 0.00 μB per formula unit

---

#2
Density functional theory data (PBE) for a relaxed structure of HgBr5.

```
HgBr5
1.0
3.635 0.000 0.000
0.000 3.635 0.000
0.000 0.000 13.033
Hg Br
1 5
Cartesian
0.000 0.000 0.000
0.000 0.000 4.695
0.000 0.000 8.338
1.817 1.817 1.710
1.817 1.817 6.516
1.817 1.817 11.323
```

Properties
N(E_F) = 6.045 states/eV/cell
spin magnetization = 0.00 μB per formula unit

---

How do the energies compare? Relative to the most stable structure, in meV/atom: #1 0; #2 373.

---

#1
Density functional theory data (PBE) for a relaxed structure of HgBr4.

```
HgBr4
1.0
5.527 0.000 0.000
0.000 5.527 0.000
0.000 0.000 5.527
Hg Br
1 4
Cartesian
0.000 0.000 0.000
0.000 0.000 2.764
0.000 2.764 0.000
2.764 0.000 0.000
2.764 2.764 2.764
```

Properties
N(E_F) = 6.903 states/eV/cell
spin magnetization = 1.86 μB per formula unit

---

#2
Density functional theory data (PBE) for a relaxed structure of HgBr4.

```
HgBr4
1.0
-3.425 3.425 3.425
3.425 -3.425 3.425
3.425 3.425 -3.425
Hg Br
1 4
Cartesian
0.000 0.000 0.000
1.712 1.712 -1.712
1.712 -1.712 1.712
-1.712 1.712 1.712
1.712 1.712 1.712
```

Properties
N(E_F) = 8.929 states/eV/cell
spin magnetization = 0.00 μB per formula unit

---

How do the energies compare? Relative to the most stable structure, in meV/atom: #1 0; #2 19.